Record 1
LiDyTh (PBE, relaxed); DFT total energy = -27.55 eV per cell; magnetic moment = 0.0 μB/f.u.; space-group type = P4/nmm; energy above the most stable polymorph in this dataset = 0 meV per atom; ΔE_f = 53 meV per atom; calculated density = 8001 kg/m³
1.0
3.6009 0.0000 0.0000
0.0000 3.6009 0.0000
0.0000 0.0000 12.8523
Li Dy Th
2 2 2
Cartesian
0.9002 0.9002 0.6566 Li
2.7007 2.7007 12.1956 Li
0.9002 0.9002 10.0689 Dy
2.7007 2.7007 2.7833 Dy
0.9002 0.9002 5.2160 Th
2.7007 2.7007 7.6363 Th

---

Record 2
YPu2Hg6 (PBE, relaxed); DFT total energy = -39.05 eV per cell; magnetic moment = 11.9 μB/f.u.; space-group type = R-3m; ΔE_f = -235 meV per atom; calculated density = 13405 kg/m³
1.0
4.3828 2.5304 3.3143
-4.3828 2.5304 3.3143
0.0000 -5.0609 3.3143
Y Pu Hg
1 2 6
Cartesian
0.0000 0.0000 0.0000 Y
0.0000 0.0000 3.3848 Pu
0.0000 0.0000 6.5580 Pu
-1.4678 -2.5423 4.9714 Hg
-2.9356 0.0000 4.9714 Hg
1.4678 -2.5423 4.9714 Hg
-1.4678 2.5423 4.9714 Hg
2.9356 0.0000 4.9714 Hg
1.4678 2.5423 4.9714 Hg

---

Record 3
TiV3Mo6 (PBE, relaxed); DFT total energy = -194.69 eV per cell; magnetic moment = 0.0 μB/f.u.; space-group type = Pnnm; ΔE_f = 289 meV per atom; calculated density = 8246 kg/m³
1.0
7.5889 0.0000 0.0000
0.0000 9.3713 0.0000
0.0000 0.0000 4.3963
Ti V Mo
2 6 12
Cartesian
0.0000 0.0000 0.0000 Ti
3.7944 4.6857 2.1982 Ti
0.0000 4.6857 0.0000 V
0.1223 2.4448 0.0000 V
3.6721 7.1305 2.1982 V
3.7944 0.0000 2.1982 V
3.9168 2.2408 2.1982 V
7.4665 6.9265 0.0000 V
1.1996 5.5563 2.1982 Mo
1.2172 8.3855 2.1982 Mo
1.3513 1.8424 2.1982 Mo
2.4431 6.5281 0.0000 Mo
2.5772 3.6999 0.0000 Mo
2.5948 0.8706 0.0000 Mo
4.9940 8.5007 0.0000 Mo
5.0116 5.6714 0.0000 Mo
5.1457 2.8433 0.0000 Mo
6.2376 7.5289 2.1982 Mo
6.3717 0.9858 2.1982 Mo
6.3893 3.8150 2.1982 Mo

---

Record 4
CePu2NpSe4 (PBE, relaxed); DFT total energy = -73.30 eV per cell; magnetic moment = 5.0 μB/f.u.; space-group type = P2/m; ΔE_f (raw) = -142.6 kJ/mol of atoms; calculated density = 9749 kg/m³
1.0
7.1762 0.0000 0.0000
0.0000 4.1212 0.0000
-2.3673 0.0000 6.8012
Ce Pu Np Se
1 2 1 4
Cartesian
0.0000 0.0000 0.0000 Ce
2.4045 0.0000 3.4006 Pu
3.5881 2.0606 0.0000 Pu
-1.1836 2.0606 3.4006 Np
0.0290 0.0000 5.0785 Se
1.2085 2.0606 1.7399 Se
3.6004 2.0606 5.0612 Se
4.7799 0.0000 1.7227 Se

---

Record 5
ZrCu2H2 (PBE, relaxed); DFT total energy = -47.79 eV per cell; magnetic moment = 0.0 μB/f.u.; space-group type = P4/mbm; energy above the most stable polymorph in this dataset = 0 meV per atom; calculated density = 6608 kg/m³
1.0
5.2973 0.0000 0.0000
0.0000 5.2973 0.0000
0.0000 0.0000 3.9462
Zr Cu H
2 4 4
Cartesian
0.0000 0.0000 0.0000 Zr
2.6486 2.6486 0.0000 Zr
0.8759 1.7728 1.9731 Cu
1.7728 4.4214 1.9731 Cu
3.5245 0.8759 1.9731 Cu
4.4214 3.5245 1.9731 Cu
0.8045 1.8442 0.0000 H
1.8442 4.4928 0.0000 H
3.4531 0.8045 0.0000 H
4.4928 3.4531 0.0000 H

---

Record 6
PmNpU2P4 (PBE, relaxed); DFT total energy = -70.48 eV per cell; magnetic moment = 8.2 μB/f.u.; space-group type = I4/mmm; ΔE_f = -1071 meV per atom; calculated density = 9095 kg/m³
1.0
-2.8184 2.8184 5.6429
2.8184 -2.8184 5.6429
2.8184 2.8184 -5.6429
Pm Np U P
1 1 2 4
Cartesian
0.0000 0.0000 0.0000 Pm
0.0000 0.0000 5.6429 Np
2.8184 0.0000 2.8215 U
0.0000 2.8184 2.8215 U
2.8184 0.0000 0.0000 P
0.0000 0.0000 2.8765 P
0.0000 2.8184 0.0000 P
0.0000 0.0000 8.4094 P